Record 1
A relaxed structure of NaEuErTl, computed with GGA-PBE.

Cell and atoms, written as POSCAR:
```
NaEuErTl
1.0
7.8366 0.0000 0.0000
0.0000 7.8366 0.0000
0.0000 0.0000 7.8366
Na Eu Er Tl
4 4 4 4
Cartesian
0.0000 0.0000 0.0000
0.0000 3.9183 3.9183
3.9183 0.0000 3.9183
3.9183 3.9183 0.0000
1.9592 1.9592 1.9592
1.9592 5.8775 5.8775
5.8775 1.9592 5.8775
5.8775 5.8775 1.9592
1.9592 1.9592 5.8775
1.9592 5.8775 1.9592
5.8775 1.9592 1.9592
5.8775 5.8775 5.8775
0.0000 0.0000 3.9183
0.0000 3.9183 0.0000
3.9183 0.0000 0.0000
3.9183 3.9183 3.9183
```

Computed properties:
D(E_F): 41.954 states/eV per cell
Energy relative to the elements: -0.066 eV/atom
Symmetry: F-43m
Total energy: -18.79 eV/f.u.



Record 2
A relaxed structure of KYCd2Pd, computed with GGA-PBE.

Cell and atoms, written as POSCAR:
```
KYCd2Pd
1.0
5.4154 0.0000 0.0000
0.0000 5.4154 0.0000
0.0000 0.0000 5.9334
K Y Cd Pd
1 1 2 1
Cartesian
0.0000 0.0000 0.0000
0.0000 0.0000 2.9667
0.0000 2.7077 0.0000
2.7077 0.0000 0.0000
2.7077 2.7077 2.9667
```

Computed properties:
D(E_F): 5.183 states/eV per cell
Energy relative to the elements: 1.282 eV/atom
Relative energy among the computed polymorphs: 1432.4 meV per atom
Symmetry: P4/mmm
Total energy: -8.18 eV/f.u.



Record 3
A relaxed structure of NaNiBi, computed with GGA-PBE.

Cell and atoms, written as POSCAR:
```
NaNiBi
1.0
11.3783 0.0000 0.0000
0.0000 4.3432 0.0000
-0.9892 0.0000 5.9656
Na Ni Bi
4 4 4
Cartesian
0.0000 0.0000 0.0000
0.4044 2.1716 2.9976
5.6892 2.1716 0.0000
6.0936 0.0000 2.9976
3.5583 0.0000 1.3048
3.6897 2.1716 2.6119
9.2474 2.1716 1.3048
9.3788 0.0000 2.6119
2.4933 2.1716 0.3498
2.9173 0.0000 3.8928
8.1825 0.0000 0.3498
8.6065 2.1716 3.8928
```

Computed properties:
D(E_F): 8.709 states/eV per cell
Energy relative to the elements: 0.012 eV/atom
Symmetry: Cm
Total energy: -10.95 eV/f.u.